The following is a PBE-GGA calculation of an optimized crystal structure of Sm2CoI, from the Open Quantum Materials Database.

CIF file:
```
data_Sm2CoI
_chemical_formula_sum 'Sm8 Co4 I4'
_symmetry_space_group_name_H-M 'C 1 2/m 1'
_symmetry_Int_Tables_number 12
_symmetry_space_group_name_Hall '-C 2y'
_cell_length_a 16.215
_cell_length_b 4.013
_cell_length_c 6.954
_cell_angle_alpha 90.00
_cell_angle_beta 98.20
_cell_angle_gamma 90.00
loop_
_atom_site_label
_atom_site_type_symbol
_atom_site_fract_x
_atom_site_fract_y
_atom_site_fract_z
_atom_site_occupancy
Sm1 Sm 0.090 0.000 0.363 1
Sm2 Sm 0.091 0.500 0.864 1
Co1 Co 0.000 0.000 0.000 1
Co2 Co 0.000 0.500 0.500 1
I1 I 0.250 0.000 0.749 1
```

* V: 448 Å³/cell
* calculated total energy: -20.42 eV/f.u.